1.
Here is a geometry-optimized CrRe2Ir2 structure from Alexandria. Energies are from PBE.

The space group is P4/mbm (No. 127) and the conventional cell measures 7.527, 7.527 and 2.715 Å, with angles of 90.00, 90.00 and 90.00 degrees. The asymmetric unit holds Cr at (0.000, 0.000, 0.000), Re at (0.173, 0.327, 0.500) and Ir at (0.124, 0.624, 0.000).

As for the density: 17.5 g/cm³. For the total energy, the calculation gives -101.72 eV per cell. The formation energy is 0.276 eV per atom.


2.
Here is a geometry-optimized CrReIr3 structure from Alexandria. Energies are from PBE.

The space group is C2/m (No. 12) and the conventional cell measures 13.829, 3.831 and 5.428 Å, with angles of 90.00, 101.14 and 90.00 degrees. The asymmetric unit holds Cr at (0.098, 0.000, 0.048), Re at (0.200, 0.500, 0.351), Ir at (0.002, 0.500, 0.239), Ir at (0.103, 0.000, 0.547) and Ir at (0.201, 0.500, 0.852).

As for the energy relative to the lowest polymorph listed for this composition: 0 meV per atom. As for the density: 19.2 g/cm³. For the total energy, the calculation gives -197.64 eV per cell. The formation energy is -0.151 eV per atom.


3.
Here is a geometry-optimized Cr2ReIr structure from Alexandria. Energies are from PBE.

The space group is P4/mmm (No. 123) and the conventional cell measures 2.676, 2.676 and 7.479 Å, with angles of 90.00, 90.00 and 90.00 degrees. The asymmetric unit holds Cr at (0.000, 0.000, 0.246), Re at (0.500, 0.500, 0.500) and Ir at (0.500, 0.500, 0.000).

As for the density: 15.0 g/cm³. For the total energy, the calculation gives -40.44 eV per cell. The formation energy is 0.029 eV per atom.


4.
Here is a geometry-optimized Cr2ReIr structure from Alexandria. Energies are from PBE.

The space group is Cm (No. 8) and the conventional cell measures 8.844, 2.675 and 4.595 Å, with angles of 90.00, 99.59 and 90.00 degrees. The asymmetric unit holds Cr at (0.000, 0.000, 0.000), Cr at (0.250, 0.000, 0.753), Re at (0.494, 0.000, 0.505) and Ir at (0.244, 0.500, 0.236).

As for the density: 14.9 g/cm³. For the total energy, the calculation gives -80.94 eV per cell. The formation energy is 0.022 eV per atom.


5.
Here is a geometry-optimized CrRe2Ir structure from Alexandria. Energies are from PBE.

The space group is P2/m (No. 10) and the conventional cell measures 4.708, 2.712 and 4.722 Å, with angles of 90.00, 109.61 and 90.00 degrees. The asymmetric unit holds Cr at (0.000, 0.000, 0.000), Re at (0.000, 0.500, 0.500), Re at (0.500, 0.000, 0.500) and Ir at (0.500, 0.500, 0.000).

As for the energy relative to the lowest polymorph listed for this composition: 28 meV per atom. As for the density: 18.0 g/cm³. For the total energy, the calculation gives -43.45 eV per cell. The formation energy is -0.018 eV per atom.


6.
Here is a geometry-optimized CrReIr structure from Alexandria. Energies are from PBE.

The space group is Immm (No. 71) and the conventional cell measures 4.241, 5.303 and 7.391 Å, with angles of 90.00, 90.00 and 90.00 degrees. The asymmetric unit holds Cr at (0.000, 0.000, 0.159), Re at (0.000, 0.500, 0.173) and Ir at (0.000, 0.250, 0.500).

As for the energy relative to the lowest polymorph listed for this composition: 31 meV per atom. As for the density: 17.2 g/cm³. For the total energy, the calculation gives -123.76 eV per cell. The formation energy is -0.002 eV per atom.


7.
Here is a geometry-optimized CrRe2Ir structure from Alexandria. Energies are from PBE.

The space group is Cmmm (No. 65) and the conventional cell measures 5.427, 7.717 and 2.705 Å, with angles of 90.00, 90.00 and 90.00 degrees. The asymmetric unit holds Cr at (0.000, 0.000, 0.000), Re at (0.250, 0.250, 0.500) and Ir at (0.000, 0.500, 0.000).

As for the energy relative to the lowest polymorph listed for this composition: 31 meV per atom. As for the density: 18.1 g/cm³. For the total energy, the calculation gives -86.89 eV per cell. The formation energy is -0.016 eV per atom.


8.
Here is a geometry-optimized Cr2ReIr structure from Alexandria. Energies are from PBE.

The space group is Pmm2 (No. 25) and the conventional cell measures 2.683, 3.733 and 5.347 Å, with angles of 90.00, 90.00 and 90.00 degrees. The asymmetric unit holds Cr at (0.000, 0.000, 0.000), Cr at (0.500, 0.500, 0.235), Re at (0.500, 0.500, 0.761) and Ir at (0.000, 0.000, 0.476).

As for the density: 15.0 g/cm³. For the total energy, the calculation gives -40.43 eV per cell. The formation energy is 0.032 eV per atom.


9.
Here is a geometry-optimized CrReIr structure from Alexandria. Energies are from PBE.

The space group is F-43m (No. 216) and the conventional cell measures 5.730, 5.730 and 5.730 Å, with angles of 90.00, 90.00 and 90.00 degrees. The asymmetric unit holds Cr at (0.000, 0.000, 0.000), Re at (0.250, 0.250, 0.750) and Ir at (0.250, 0.250, 0.250).

As for the energy relative to the lowest polymorph listed for this composition: 463 meV per atom. As for the density: 15.2 g/cm³. For the total energy, the calculation gives -118.56 eV per cell. The formation energy is 0.430 eV per atom.


10.
Here is a geometry-optimized CrRe2Ir structure from Alexandria. Energies are from PBE.

The space group is Pmmm (No. 47) and the conventional cell measures 2.717, 3.799 and 5.491 Å, with angles of 90.00, 90.00 and 90.00 degrees. The asymmetric unit holds Cr at (0.000, 0.000, 0.000), Re at (0.500, 0.500, 0.232) and Ir at (0.000, 0.000, 0.500).

As for the energy relative to the lowest polymorph listed for this composition: 54 meV per atom. As for the density: 18.1 g/cm³. For the total energy, the calculation gives -43.35 eV per cell. The formation energy is 0.007 eV per atom.


11.
Here is a geometry-optimized CrReIr structure from Alexandria. Energies are from PBE.

The space group is P3m1 (No. 156) and the conventional cell measures 2.7018, 2.7018 and 6.6175 Å, with angles of 90.00, 90.00 and 120.00 degrees. The asymmetric unit holds Cr at (0.0000, 0.0000, 0.0000), Re at (0.3333, 0.6667, 0.6720) and Ir at (0.6667, 0.3333, 0.3172).

As for the energy relative to the lowest polymorph listed for this composition: 70 meV per atom. As for the density: 17.1 g/cm³. For the total energy, the calculation gives -30.82 eV per cell. The formation energy is 0.038 eV per atom.


12.
Here is a geometry-optimized Cr2ReIr2 structure from Alexandria. Energies are from PBE.

The space group is P4/mbm (No. 127) and the conventional cell measures 7.212, 7.212 and 2.681 Å, with angles of 90.00, 90.00 and 90.00 degrees. The asymmetric unit holds Cr at (0.170, 0.330, 0.000), Re at (0.000, 0.000, 0.500) and Ir at (0.128, 0.628, 0.500).

As for the energy relative to the lowest polymorph listed for this composition: 23 meV per atom. As for the density: 16.1 g/cm³. For the total energy, the calculation gives -98.20 eV per cell. The formation energy is 0.063 eV per atom.


13.
Here is a geometry-optimized CrReIr3 structure from Alexandria. Energies are from PBE.

The space group is Pmmn (No. 59, origin choice 2) and the conventional cell measures 4.312, 5.259 and 6.861 Å, with angles of 90.00, 90.00 and 90.00 degrees. The asymmetric unit holds Cr at (0.250, 0.250, 0.196), Re at (0.250, 0.750, 0.254), Ir at (0.250, 0.250, 0.530) and Ir at (0.250, 0.503, 0.879).

As for the energy relative to the lowest polymorph listed for this composition: 428 meV per atom. As for the density: 17.4 g/cm³. For the total energy, the calculation gives -94.54 eV per cell. The formation energy is 0.277 eV per atom.


14.
Here is a geometry-optimized CrRe2Ir structure from Alexandria. Energies are from PBE.

The space group is Pmm2 (No. 25) and the conventional cell measures 2.718, 3.816 and 5.469 Å, with angles of 90.00, 90.00 and 90.00 degrees. The asymmetric unit holds Cr at (0.000, 0.000, 0.000), Re at (0.000, 0.000, 0.501), Re at (0.500, 0.500, 0.756) and Ir at (0.500, 0.500, 0.236).

As for the energy relative to the lowest polymorph listed for this composition: 38 meV per atom. As for the density: 18.0 g/cm³. For the total energy, the calculation gives -43.41 eV per cell. The formation energy is -0.009 eV per atom.


15.
Here is a geometry-optimized Cr2ReIr structure from Alexandria. Energies are from PBE.

The space group is P4/mmm (No. 123) and the conventional cell measures 3.804, 3.804 and 3.690 Å, with angles of 90.00, 90.00 and 90.00 degrees. The asymmetric unit holds Cr at (0.000, 0.500, 0.000), Re at (0.000, 0.000, 0.500) and Ir at (0.500, 0.500, 0.500).

As for the density: 15.0 g/cm³. For the total energy, the calculation gives -40.63 eV per cell. The formation energy is -0.018 eV per atom.


16.
Here is a geometry-optimized Cr2ReIr structure from Alexandria. Energies are from PBE.

The space group is R3m (No. 160, hexagonal axes) and the conventional cell measures 2.7325, 2.7325 and 25.0527 Å, with angles of 90.00, 90.00 and 120.00 degrees. The asymmetric unit holds Cr at (0.0000, 0.0000, 0.0000), Cr at (0.0000, 0.0000, 0.2608), Re at (0.0000, 0.0000, 0.5088) and Ir at (0.0000, 0.0000, 0.7502).

As for the density: 14.8 g/cm³. For the total energy, the calculation gives -119.86 eV per cell. The formation energy is 0.150 eV per atom.


17.
Here is a geometry-optimized CrReIr4 structure from Alexandria. Energies are from PBE.

The space group is R-3m (No. 166, hexagonal axes) and the conventional cell measures 4.1292, 4.1292 and 20.0836 Å, with angles of 90.00, 90.00 and 120.00 degrees. The asymmetric unit holds Cr at (0.0000, 0.0000, 0.0000), Re at (0.0000, 0.0000, 0.5000), Ir at (0.0000, 0.0000, 0.1226) and Ir at (0.0000, 0.0000, 0.3725).

As for the energy relative to the lowest polymorph listed for this composition: 0 meV per atom. As for the density: 16.9 g/cm³. For the total energy, the calculation gives -168.18 eV per cell. The formation energy is 0.243 eV per atom.


18.
Here is a geometry-optimized Cr5ReIr6 structure from Alexandria. Energies are from PBE.

The space group is Immm (No. 71) and the conventional cell measures 3.797, 7.519 and 11.429 Å, with angles of 90.00, 90.00 and 90.00 degrees. The asymmetric unit holds Cr at (0.000, 0.000, 0.000), Cr at (0.000, 0.000, 0.334), Cr at (0.000, 0.500, 0.333), Re at (0.000, 0.500, 0.000), Ir at (0.000, 0.248, 0.168) and Ir at (0.000, 0.254, 0.500).

As for the density: 16.3 g/cm³. For the total energy, the calculation gives -232.11 eV per cell. The formation energy is -0.194 eV per atom.


19.
Here is a geometry-optimized CrRe2Ir structure from Alexandria. Energies are from PBE.

The space group is P4/mmm (No. 123) and the conventional cell measures 3.829, 3.829 and 3.858 Å, with angles of 90.00, 90.00 and 90.00 degrees. The asymmetric unit holds Cr at (0.000, 0.000, 0.000), Re at (0.000, 0.500, 0.500) and Ir at (0.500, 0.500, 0.000).

As for the energy relative to the lowest polymorph listed for this composition: 0 meV per atom. As for the density: 18.1 g/cm³. For the total energy, the calculation gives -43.57 eV per cell. The formation energy is -0.047 eV per atom.


20.
Here is a geometry-optimized CrRe2Ir structure from Alexandria. Energies are from PBE.

The space group is Amm2 (No. 38) and the conventional cell measures 4.171, 2.713 and 10.056 Å, with angles of 90.00, 90.00 and 90.00 degrees. The asymmetric unit holds Cr at (0.000, 0.000, 0.000), Re at (0.000, 0.000, 0.256), Re at (0.500, 0.000, 0.874) and Ir at (0.500, 0.000, 0.607).

As for the energy relative to the lowest polymorph listed for this composition: 60 meV per atom. As for the density: 18.0 g/cm³. For the total energy, the calculation gives -86.65 eV per cell. The formation energy is 0.013 eV per atom.